Entry 1:
PBE TbBi2H, optimized geometry; density = 9.2 g/cm3; spin magnetization = 0.00 Bohr magnetons per cell; total DFT energy (no corrections) = -4.323 eV/atom; crystal system = monoclinic; SG = Cm, No. 8
1.0
3.577 -0.010 -0.005
-1.780 3.102 0.005
-1.810 -1.016 9.461
H Bi Tb
1 2 1
Direct
0.043 0.271 0.314
0.571 0.033 0.604
0.178 0.842 0.020
0.708 0.604 0.312

***

Entry 2:
PBE Tb2BiH3, optimized geometry; density = 9.1 g/cm3; spin magnetization = 0.00 Bohr magnetons per cell; total DFT energy (no corrections) = -4.565 eV/atom; crystal system = monoclinic; SG = C2/m, No. 12
1.0
-1.514 2.137 -2.961
0.826 -7.095 -2.904
-6.122 0.891 3.773
Tb Bi H
4 2 6
Direct
0.471 0.942 0.729
0.198 0.395 0.671
0.529 0.058 0.271
0.802 0.605 0.329
0.135 0.270 0.047
0.865 0.730 0.953
0.594 0.188 0.620
0.061 0.122 0.407
0.308 0.616 0.528
0.406 0.812 0.380
0.939 0.878 0.593
0.692 0.384 0.472

***

Entry 3:
PBE Tb6Bi3H, optimized geometry; density = 9.9 g/cm3; spin magnetization = 0.00 Bohr magnetons per cell; total DFT energy (no corrections) = -4.838 eV/atom; crystal system = orthorhombic; SG = Cmc2_1, No. 36
1.0
5.018 0.000 0.000
0.000 10.413 0.018
0.000 -2.306 10.155
Tb Bi H
12 6 2
Direct
0.654 0.918 0.414
0.154 0.075 0.925
0.154 0.743 0.591
0.657 0.253 0.747
0.654 0.257 0.409
0.157 0.747 0.253
0.654 0.591 0.743
0.154 0.082 0.586
0.154 0.409 0.257
0.654 0.586 0.082
0.154 0.414 0.918
0.654 0.925 0.075
0.153 0.070 0.263
0.653 0.930 0.737
0.153 0.737 0.930
0.653 0.263 0.070
0.657 0.595 0.405
0.157 0.405 0.595
0.093 0.208 0.792
0.593 0.792 0.208

***

Entry 4:
PBE Tb4Bi5H, optimized geometry; density = 9.6 g/cm3; spin magnetization = 0.00 Bohr magnetons per cell; total DFT energy (no corrections) = -4.431 eV/atom; crystal system = monoclinic; SG = C2/m, No. 12
1.0
3.513 0.000 0.000
0.000 9.195 0.557
-1.757 -0.773 8.994
Tb Bi H
4 5 1
Direct
0.012 0.812 0.025
0.988 0.188 0.975
0.653 0.064 0.306
0.347 0.936 0.694
0.812 0.225 0.625
0.150 0.376 0.300
0.850 0.624 0.700
0.500 0.500 0.000
0.188 0.775 0.375
0.500 0.000 0.000

***

Entry 5:
PBE Tb3BiH2, optimized geometry; density = 8.5 g/cm3; spin magnetization = 0.00 Bohr magnetons per cell; total DFT energy (no corrections) = -4.589 eV/atom; crystal system = monoclinic; SG = C2/m, No. 12
1.0
3.997 0.000 0.000
0.000 6.210 -0.630
-1.998 -2.420 11.074
H Tb Bi
4 6 2
Direct
0.059 0.184 0.117
0.292 0.603 0.584
0.708 0.397 0.416
0.941 0.816 0.883
0.230 0.253 0.460
0.600 0.345 0.201
0.770 0.747 0.540
0.039 0.801 0.078
0.400 0.655 0.799
0.961 0.199 0.922
0.651 0.889 0.301
0.349 0.111 0.699

***

Entry 6:
PBE Tb2BiH2, optimized geometry; density = 9.6 g/cm3; energy relative to the lowest polymorph listed for this composition = 0 meV/atom; spin magnetization = 0.00 Bohr magnetons per cell; crystal system = tetragonal; SG = I4/mmm, No. 139
1.0
3.720 0.159 -1.398
-0.686 3.653 -1.416
0.275 0.379 6.433
Tb H Bi
2 2 1
Direct
0.349 0.349 0.698
0.651 0.651 0.302
0.750 0.250 0.500
0.250 0.750 0.500
0.000 0.000 0.000

***

Entry 7:
PBE Tb2BiH2, optimized geometry; density = 9.6 g/cm3; energy relative to the lowest polymorph listed for this composition = 30 meV/atom; spin magnetization = 0.00 Bohr magnetons per cell; crystal system = orthorhombic; SG = Fddd, No. 70
1.0
5.985 -0.292 -0.006
-2.305 5.531 -0.006
-1.836 -2.614 5.641
Tb H Bi
4 4 2
Direct
0.555 0.945 0.750
0.195 0.305 0.750
0.805 0.695 0.250
0.445 0.055 0.250
0.503 0.753 0.007
0.497 0.247 0.993
0.747 0.997 0.493
0.253 0.003 0.507
0.125 0.375 0.250
0.875 0.625 0.750

***

Entry 8:
PBE Tb5Bi4H, optimized geometry; density = 8.9 g/cm3; spin magnetization = 0.00 Bohr magnetons per cell; total DFT energy (no corrections) = -4.831 eV/atom; crystal system = tetragonal; SG = I4, No. 79
1.0
6.305 0.000 0.000
3.152 6.942 0.000
3.152 0.000 6.942
Tb H Bi
5 1 4
Direct
0.304 0.803 0.600
0.108 0.600 0.197
0.409 0.000 0.000
0.708 0.197 0.400
0.904 0.400 0.803
0.054 0.000 0.000
0.603 0.605 0.201
0.804 0.799 0.605
0.409 0.395 0.799
0.208 0.201 0.395

***

Entry 9:
PBE Tb3Bi2H, optimized geometry; density = 9.2 g/cm3; spin magnetization = 0.00 Bohr magnetons per cell; total DFT energy (no corrections) = -4.716 eV/atom; crystal system = monoclinic; SG = C2/c, No. 15
1.0
-0.122 -0.163 -6.346
4.844 -6.327 0.069
-5.663 -2.955 3.361
Bi Tb H
4 6 2
Direct
0.402 0.982 0.671
0.270 0.482 0.671
0.730 0.518 0.329
0.598 0.018 0.329
0.245 0.670 0.294
0.755 0.330 0.706
0.640 0.750 0.000
0.360 0.250 0.000
0.049 0.170 0.294
0.951 0.830 0.706
0.022 0.250 0.000
0.978 0.750 0.000

***

Entry 10:
PBE Tb3Bi2H2, optimized geometry; density = 9.7 g/cm3; spin magnetization = 0.00 Bohr magnetons per cell; total DFT energy (no corrections) = -4.757 eV/atom; crystal system = triclinic; SG = P-1, No. 2
1.0
-3.505 -1.329 -1.901
-0.418 -6.352 0.572
-5.149 1.344 3.887
Bi Tb H
2 3 2
Direct
0.781 0.797 0.641
0.219 0.203 0.359
0.568 0.617 0.249
0.000 0.000 0.000
0.432 0.383 0.751
0.862 0.349 0.927
0.138 0.651 0.073

***

Entry 11:
PBE Tb3BiH3, optimized geometry; density = 9.2 g/cm3; spin magnetization = 0.00 Bohr magnetons per cell; total DFT energy (no corrections) = -4.555 eV/atom; crystal system = cubic; SG = Pm-3n, No. 223
1.0
-3.397 -5.124 -1.368
5.303 -3.268 -0.928
0.045 -1.652 6.077
Tb H Bi
6 6 2
Direct
0.750 0.500 0.000
0.000 0.750 0.500
0.500 0.000 0.750
0.000 0.250 0.500
0.250 0.500 0.000
0.500 0.000 0.250
0.000 0.500 0.250
0.250 0.000 0.500
0.500 0.750 0.000
0.500 0.250 0.000
0.000 0.500 0.750
0.750 0.000 0.500
0.000 0.000 0.000
0.500 0.500 0.500

***

Entry 12:
PBE Tc3BiH, optimized geometry; density = 6.1 g/cm3; energy relative to the lowest polymorph listed for this composition = 2360 meV/atom; spin magnetization = 7.02 Bohr magnetons per cell; crystal system = cubic; SG = Pm-3m, No. 221
1.0
-1.326 -1.749 -4.660
-0.012 -4.821 1.813
-4.977 0.478 1.237
Tc H Bi
3 1 1
Direct
0.500 0.000 0.000
0.000 0.000 0.500
0.000 0.500 0.000
0.500 0.500 0.500
0.000 0.000 0.000